A plane-wave DFT calculation with PBE was carried out for Ta2AlGe2 after structural relaxation.

Unit cell a=7.048 b=7.048 c=7.048 alpha=149.82 beta=149.82 gamma=43.20
Positions (direct):
Ta 0.101 0.101 0.000
Ta 0.899 0.899 0.000
Al 0.500 0.500 0.000
Ge 0.250 0.750 0.500
Ge 0.750 0.250 0.500

Volume: 17.6 Å³/atom
Crystal system: tetragonal
Uncorrected energy: -35.982 eV/cell